In2PtSe: optimized geometry, PBE-GGA.

Properties
formation energy (no corrections): -172 meV/atom

The structure in POSCAR format:
```
In2PtSe
1.0
-4.491 -1.954 5.177
-0.969 -3.720 6.001
-1.554 0.147 6.953
In Pt Se
2 1 1
direct
0.008 0.008 0.008 In
0.232 0.232 0.232 In
0.496 0.496 0.496 Pt
0.764 0.764 0.764 Se
```

***

Pm4ScSn3: optimized geometry, PBE-GGA.

Properties
relative energy among the computed polymorphs: 197 meV/atom
ΔE_f: -0.51 eV/atom

The structure in POSCAR format:
```
Pm4ScSn3
1.0
4.901 0.000 0.000
0.000 4.721 -1.295
-2.451 -4.611 10.951
Pm Sc Sn
4 1 3
direct
0.872 0.615 0.743 Pm
0.128 0.385 0.257 Pm
0.372 0.115 0.743 Pm
0.628 0.885 0.257 Pm
0.500 0.000 0.000 Sc
0.000 0.500 0.000 Sn
0.749 0.748 0.499 Sn
0.251 0.252 0.501 Sn
```

***

DyPuZnIn: optimized geometry, PBE-GGA.

Properties
ΔE_f: -0.20 eV/atom

The structure in POSCAR format:
```
DyPuZnIn
1.0
5.227 0.000 0.000
2.613 4.526 0.000
2.613 1.509 4.267
In Zn Dy Pu
1 1 1 1
direct
0.500 0.500 0.500 In
0.000 0.000 0.000 Zn
0.250 0.250 0.250 Dy
0.750 0.750 0.750 Pu
```

***

HWSCl2: optimized geometry, PBE-GGA.

Properties
relative energy among the computed polymorphs: 0 meV/atom

The structure in POSCAR format:
```
HWSCl2
1.0
4.845 0.000 0.000
0.000 4.845 0.000
0.000 0.000 4.600
Cl S H W
2 1 1 1
direct
0.500 0.000 0.000 Cl
0.000 0.500 0.000 Cl
0.000 0.000 0.500 S
0.500 0.500 0.500 H
0.000 0.000 0.000 W
```

***

TiPtSI2: optimized geometry, PBE-GGA.

Properties
formation energy (no corrections): 775 meV/atom

The structure in POSCAR format:
```
TiPtSI2
1.0
-4.618 -0.403 3.570
-2.291 -1.879 -3.176
1.839 -5.260 1.785
I Ti S Pt
2 1 1 1
direct
0.000 0.000 0.500 I
0.500 0.000 0.000 I
0.500 0.500 0.500 Ti
0.000 0.000 0.000 S
0.000 0.500 0.000 Pt
```

***

ZrScGa2: optimized geometry, PBE-GGA.

Properties
relative energy among the computed polymorphs: 131 meV/atom
ΔE_f: -0.47 eV/atom

The structure in POSCAR format:
```
ZrScGa2
1.0
0.000 3.366 3.366
3.366 0.000 3.366
3.366 3.366 0.000
Sc Ga Zr
1 2 1
direct
0.000 0.000 0.000 Sc
0.250 0.250 0.250 Ga
0.750 0.750 0.750 Ga
0.500 0.500 0.500 Zr
```